Record 1
Compound: CrPd3Pb
Source: Alexandria via LeMat-Bulk
Functional: meta-GGA SCAN
Structure: single point on PBEsol structure

Cell lengths 4.6215, 4.6215, 4.6215 Å; angles 90.00, 90.00, 90.00 degrees
With the nearest neighbours (Å) after each atom.
Fractional positions:
Cr (0.0000, 0.0000, 0.0000)  6 Pd 2.31
Pd (0.0000, 0.0000, 0.5000)  2 Cr 2.31
Pd (0.0000, 0.5000, 0.0000)  2 Cr 2.31
Pd (0.5000, 0.0000, 0.0000)  2 Cr 2.31
Pb (0.5000, 0.5000, 0.5000)  12 Pd 3.27

Summary:
Calculated volume   19.7 Å³ per atom
Symmetry   Pm-3m, No. 221
E_tot   -37.892 eV/atom



Record 2
Compound: Y2CrPdPb
Source: Alexandria via LeMat-Bulk
Functional: meta-GGA SCAN
Structure: single point on PBEsol structure

Cell lengths 5.2486, 5.2486, 4.8677 Å; angles 90.00, 90.00, 90.00 degrees
With the nearest neighbours (Å) after each atom.
Fractional positions:
Y (0.0000, 0.5000, 0.0000)  2 Pd 2.62
Y (0.5000, 0.0000, 0.0000)  2 Pd 2.62
Cr (0.0000, 0.0000, 0.5000)  2 Pd 2.43
Pd (0.0000, 0.0000, 0.0000)  2 Cr 2.43, 4 Y 2.62
Pb (0.5000, 0.5000, 0.5000)  8 Y 3.58, 4 Cr 3.71

Summary:
Calculated volume   26.8 Å³ per atom
Symmetry   P4/mmm, No. 123
E_tot   -36.774 eV/atom



Record 3
Compound: CrPtPb2
Source: Alexandria via LeMat-Bulk
Functional: meta-GGA SCAN
Structure: single point on PBEsol structure

Cell lengths 4.8926, 4.8926, 4.8926 Å; angles 60.00, 60.00, 60.00 degrees
With the nearest neighbours (Å) after each atom.
Fractional positions:
Cr (0.0000, 0.0000, 0.0000)  4 Pb 3.00, 4 Pt 3.00
Pt (0.7500, 0.7500, 0.7500)  4 Pb 3.00, 4 Cr 3.00
Pb (0.2500, 0.2500, 0.2500)  4 Cr 3.00, 4 Pb 3.00
Pb (0.5000, 0.5000, 0.5000)  4 Pt 3.00, 4 Pb 3.00

Summary:
Calculated volume   20.7 Å³ per atom
Symmetry   F-43m, No. 216
E_tot   -59.769 eV/atom



calculated volume of number 2 (Y2CrPdPb)?
26.8 Å³ per atom